Below is a geometry-optimized Y2AlHg structure, with properties calculated at the PBE level.

## Properties
- Total magnetization: 0.000 μB per cell
- ρ: 6.00 g/cm3
- Polymorph energy (0 for the lowest one): 414 meV per atom
- Density of states at the Fermi level: 13.56 states/eV/cell
- Calculated formation energy: -0.047 eV/atom
- Crystal system: tetragonal
- Energy: -17.2 eV per formula unit

Cell lengths 8.040, 8.040, 6.937 Å; angles 90.00, 90.00, 90.00 degrees
Space group I-42d (No. 122)
One atom of each set of equivalent atoms:
Y: 0.246 0.750 0.125 (multiplicity 8)
Al: 0.000 0.000 0.500 (multiplicity 4)
Hg: 0.000 0.000 0.000 (multiplicity 4)

Below is a geometry-optimized Ba3Ho2NpN6 structure, with properties calculated at the PBE level.

## Properties
- Formation energy without anion corrections: -1025 meV/atom
- Total magnetization: 1.061 μB per cell
- ρ: 8.36 g/cm3
- Density of states at the Fermi level: 9.13 states/eV/cell
- Crystal system: monoclinic
- Energy: -90.1 eV per formula unit

Cell lengths 6.188, 10.666, 6.716 Å; angles 90.00, 107.73, 90.00 degrees
Space group C2/m (No. 12)
One atom of each set of equivalent atoms:
Ba: 0.000 0.000 0.000 (multiplicity 2)
Ba: 0.000 0.329 0.000 (multiplicity 4)
Ho: 0.000 0.166 0.500 (multiplicity 4)
Np: 0.000 0.500 0.500 (multiplicity 2)
N: 0.211 0.350 0.681 (multiplicity 8)
N: 0.242 0.500 0.308 (multiplicity 4)

Below is a geometry-optimized KCuCl2 structure, with properties calculated at the PBE level.

## Properties
- Formation energy without anion corrections: -1009 meV/atom
- Total magnetization: 0.293 μB per cell
- ρ: 3.13 g/cm3
- Polymorph energy (0 for the lowest one): 193 meV per atom
- Crystal system: trigonal
- Energy: -12.9 eV per formula unit

Cell lengths 4.0049, 4.0049, 19.9090 Å; angles 90.00, 90.00, 120.00 degrees
Space group R-3m (No. 166, hexagonal axes)
One atom of each set of equivalent atoms:
K: 0.0000 0.0000 0.0000 (multiplicity 3)
Cu: 0.0000 0.0000 0.5000 (multiplicity 3)
Cl: 0.0000 0.0000 0.2312 (multiplicity 6)

Below is a geometry-optimized KRbNi2Sb structure, with properties calculated at the PBE level.

## Properties
- Formation energy without anion corrections: 1512 meV/atom
- Total magnetization: 1.069 μB per cell
- ρ: 3.49 g/cm3
- Density of states at the Fermi level: 5.93 states/eV/cell
- Crystal system: tetragonal
- Energy: -10.2 eV per formula unit

Cell lengths 5.189, 5.189, 6.425 Å; angles 90.00, 90.00, 90.00 degrees
Space group P4/mmm (No. 123)
One atom of each set of equivalent atoms:
K: 0.000 0.000 0.000 (multiplicity 1)
Rb: 0.500 0.500 0.500 (multiplicity 1)
Ni: 0.000 0.500 0.500 (multiplicity 2)
Sb: 0.500 0.500 0.000 (multiplicity 1)

Below is a geometry-optimized Tb2TlSi structure, with properties calculated at the PBE level.

## Properties
- Formation energy without anion corrections: -399 meV/atom
- Total magnetization: 0.000 μB per cell
- ρ: 9.24 g/cm3
- Density of states at the Fermi level: 4.23 states/eV/cell
- Crystal system: tetragonal
- Energy: -18.6 eV per formula unit

Cell lengths 3.776, 3.776, 6.936 Å; angles 90.00, 90.00, 90.00 degrees
Space group P4/mmm (No. 123)
One atom of each set of equivalent atoms:
Tb: 0.000 0.000 0.220 (multiplicity 2)
Tl: 0.500 0.500 0.500 (multiplicity 1)
Si: 0.500 0.500 0.000 (multiplicity 1)

Below is a geometry-optimized LaHf2Ir structure, with properties calculated at the PBE level.

## Properties
- Total magnetization: 0.000 μB per cell
- ρ: 14.04 g/cm3
- Polymorph energy (0 for the lowest one): 0 meV per atom
- Density of states at the Fermi level: 15.04 states/eV/cell
- Calculated formation energy: -0.153 eV/atom
- Crystal system: cubic
- Energy: -34.3 eV per formula unit

Cell lengths 6.879, 6.879, 6.879 Å; angles 90.00, 90.00, 90.00 degrees
Space group Fm-3m (No. 225)
One atom of each set of equivalent atoms:
La: 0.000 0.000 0.000 (multiplicity 4)
Hf: 0.250 0.250 0.250 (multiplicity 8)
Ir: 0.000 0.000 0.500 (multiplicity 4)

Below is a geometry-optimized LiSmCuGe2 structure, with properties calculated at the PBE level.

## Properties
- Total magnetization: 0.000 μB per cell
- ρ: 6.79 g/cm3
- Density of states at the Fermi level: 2.52 states/eV/cell
- Calculated formation energy: -0.578 eV/atom
- Crystal system: tetragonal
- Energy: -22.9 eV per formula unit

Cell lengths 4.108, 4.108, 10.603 Å; angles 90.00, 90.00, 90.00 degrees
Space group I-4m2 (No. 119)
One atom of each set of equivalent atoms:
Li: 0.000 0.000 0.000 (multiplicity 2)
Sm: 0.000 0.500 0.750 (multiplicity 2)
Cu: 0.000 0.000 0.500 (multiplicity 2)
Ge: 0.000 0.500 0.132 (multiplicity 4)

Below is a geometry-optimized NpCd2 structure, with properties calculated at the PBE level.

## Properties
- Total magnetization: 8.817 μB per cell
- ρ: 11.22 g/cm3
- Density of states at the Fermi level: 11.16 states/eV/cell
- Calculated formation energy: 0.171 eV/atom
- Crystal system: tetragonal
- Energy: -14.3 eV per formula unit

Cell lengths 3.026, 3.026, 14.930 Å; angles 90.00, 90.00, 90.00 degrees
Space group I4/mmm (No. 139)
One atom of each set of equivalent atoms:
Np: 0.000 0.000 0.000 (multiplicity 2)
Cd: 0.000 0.000 0.328 (multiplicity 4)